LiV2GaO6 | PBE with a Hubbard U | optimized geometry

* total magnetic moment: 2.000 μB/cell
* E_tot: -69.0 eV per formula unit

```
data_LiV2GaO6
_symmetry_space_group_name_H-M 'P 1'
_symmetry_Int_Tables_number 1
_cell_length_a 4.993
_cell_length_b 5.054
_cell_length_c 5.410
_cell_angle_alpha 62.22
_cell_angle_beta 62.61
_cell_angle_gamma 61.03
loop_
_symmetry_equiv_pos_as_xyz
'x,y,z'
loop_
_atom_site_label
_atom_site_type_symbol
_atom_site_fract_x
_atom_site_fract_y
_atom_site_fract_z
Li1 Li 0.000 0.000 0.000
V1 V 0.209 0.207 0.359
V2 V 0.700 0.723 0.864
Ga1 Ga 0.500 0.518 0.489
O1 O 0.099 0.814 0.651
O2 O 0.354 0.575 0.158
O3 O 0.448 0.108 0.643
O4 O 0.588 0.922 0.166
O5 O 0.810 0.448 0.649
O6 O 0.956 0.331 0.150
```